# 1
GGA-PBE Co2TeAs, relaxed; energy relative to the elements, uncorrected = 411 meV per atom
1.0
-1.835 1.835 4.591
1.835 -1.835 4.591
1.835 1.835 -4.591
Co Te As
2 1 1
direct
0.000 0.000 0.000
0.750 0.250 0.500
0.250 0.750 0.500
0.500 0.500 0.000

=====

# 2
GGA-PBE Th4CoTe2As, relaxed; energy relative to the elements, uncorrected = -993 meV per atom
1.0
7.549 0.000 0.000
0.000 4.121 0.000
-2.363 0.000 7.428
Th Co Te As
4 1 2 1
direct
0.212 0.000 0.200
0.251 0.500 0.786
0.749 0.500 0.214
0.788 0.000 0.800
0.000 0.500 0.000
0.000 0.000 0.500
0.500 0.500 0.500
0.500 0.000 0.000

=====

# 3
GGA-PBE ThCo5As3, relaxed; E_form = -4.26 eV/f.u.
1.0
1.872 -5.922 0.000
1.872 5.922 0.000
0.000 0.000 11.785
Th Co As
2 10 6
direct
0.167 0.833 0.750
0.833 0.167 0.250
0.000 0.000 0.000
0.000 0.000 0.500
0.195 0.805 0.072
0.195 0.805 0.428
0.449 0.551 0.642
0.449 0.551 0.858
0.551 0.449 0.142
0.551 0.449 0.358
0.805 0.195 0.572
0.805 0.195 0.928
0.105 0.895 0.250
0.381 0.619 0.041
0.381 0.619 0.459
0.619 0.381 0.541
0.619 0.381 0.959
0.895 0.105 0.750

=====

# 4
GGA-PBE ThCo2As2, relaxed; E_form = -4.00 eV/f.u.
1.0
4.195 0.000 0.000
0.000 4.195 0.000
0.000 0.000 9.351
Th Co As
2 4 4
direct
0.250 0.250 0.247
0.750 0.750 0.753
0.250 0.250 0.614
0.250 0.750 0.000
0.750 0.250 0.000
0.750 0.750 0.386
0.250 0.250 0.868
0.250 0.750 0.500
0.750 0.250 0.500
0.750 0.750 0.132

=====

Number 1: calculated density 8.60 Mg/m³, calculated volume 15.46 Å³/atom. Number 2: calculated density 9.47 Mg/m³, calculated volume 28.89 Å³/atom. Number 3: calculated density 9.55 Mg/m³, calculated volume 14.52 Å³/atom. Number 4: calculated density 10.08 Mg/m³, calculated volume 16.46 Å³/atom.